Density functional theory data (PBE) for a relaxed Ce2MnRu crystal.

Lattice parameters (Å, degrees): 3.4097 3.4097 6.7595 90.00 90.00 90.00
Fractional positions:
Ru 0.5000 0.5000 0.0000
Ce 0.0000 0.0000 0.7411
Ce 0.0000 0.0000 0.2589
Mn 0.5000 0.5000 0.5000

Summary:
- spin magnetization (μB per cell) = 0.00
- density of states at the Fermi level (states/eV/atom) = 0.83
- space-group type = No. 123
- energy relative to the elements (kJ per mole of atoms) = 3.0

---

Density functional theory data (PBE) for a relaxed SrAc2Dy crystal.

Lattice parameters (Å, degrees): 6.2226 6.2226 6.2226 60.00 60.00 60.00
Fractional positions:
Dy 0.0000 0.0000 0.0000
Ac 0.7500 0.7500 0.7500
Ac 0.2500 0.2500 0.2500
Sr 0.5000 0.5000 0.5000

Summary:
- spin magnetization (μB per cell) = 0.00
- density of states at the Fermi level (states/eV/atom) = 1.36
- space-group type = No. 225
- energy relative to the elements (kJ per mole of atoms) = 14.1

---

Density functional theory data (PBE) for a relaxed BaPt2F crystal.

Lattice parameters (Å, degrees): 3.7229 3.7229 12.8570 81.68 81.68 90.00
Fractional positions:
Pt 0.6243 0.6250 0.2500
Pt 0.3750 0.8743 0.7500
Pt 0.1257 0.1250 0.2500
Pt 0.8750 0.3757 0.7500
Ba 0.7500 0.2500 0.5000
Ba 0.0000 0.0000 0.0000
F 0.5000 0.5000 0.0000
F 0.2500 0.7500 0.5000

Summary:
- spin magnetization (μB per cell) = 0.00
- density of states at the Fermi level (states/eV/atom) = 0.94
- space-group type = No. 122
- formation energy (no corrections) (eV per atom) = -1.35

---

Density functional theory data (PBE) for a relaxed MoAs2Pd crystal.

Lattice parameters (Å, degrees): 4.4950 4.4950 4.4950 60.00 60.00 60.00
Last column: magnetic moment on the atom in μB.
Fractional positions:
Pd 0.5000 0.5000 0.5000  0.10
As 0.2500 0.2500 0.2500  0.00
As 0.7500 0.7500 0.7500  0.00
Mo 0.0000 0.0000 0.0000  0.51

Summary:
- spin magnetization (μB per cell) = 0.66
- density of states at the Fermi level (states/eV/atom) = 1.02
- space-group type = No. 225
- energy relative to the elements (kJ per mole of atoms) = 6.1

---

Density functional theory data (PBE) for a relaxed DyTiN2 crystal.

Lattice parameters (Å, degrees): 3.1513 3.1513 5.8467 74.37 74.37 60.00
Fractional positions:
Ti 0.6697 0.6697 0.9910
N 0.2624 0.2624 0.2127
N 0.0716 0.0716 0.7852
Dy 0.4963 0.4963 0.5111

Summary:
- spin magnetization (μB per cell) = 0.00
- density of states at the Fermi level (states/eV/atom) = 0.48
- space-group type = No. 160
- formation energy (no corrections) (eV per atom) = -1.43

---

Density functional theory data (PBE) for a relaxed DyHgPd2 crystal.

Lattice parameters (Å, degrees): 3.6039 3.6039 6.0752 90.00 90.00 90.00
Fractional positions:
Dy 0.5000 0.5000 0.0000
Pd 0.0000 0.0000 0.2546
Pd 0.0000 0.0000 0.7454
Hg 0.5000 0.5000 0.5000

Summary:
- spin magnetization (μB per cell) = 0.00
- density of states at the Fermi level (states/eV/atom) = 0.38
- space-group type = No. 123
- energy relative to the elements (kJ per mole of atoms) = -61.7

---

Density functional theory data (PBE) for a relaxed Rb2GeBi2 crystal.

Lattice parameters (Å, degrees): 8.0077 8.0077 6.0575 90.00 90.00 90.00
Fractional positions:
Ge 0.0000 0.0000 0.0000
Ge 0.5000 0.5000 0.0000
Bi 0.3627 0.8627 0.0000
Bi 0.6373 0.1373 0.0000
Bi 0.8627 0.6373 0.0000
Bi 0.1373 0.3627 0.0000
Rb 0.3274 0.1726 0.5000
Rb 0.8274 0.3274 0.5000
Rb 0.6726 0.8274 0.5000
Rb 0.1726 0.6726 0.5000

Summary:
- spin magnetization (μB per cell) = 0.00
- density of states at the Fermi level (states/eV/atom) = 0.50
- space-group type = No. 127
- energy relative to the elements (kJ per mole of atoms) = -12.0

---

Density functional theory data (PBE) for a relaxed Rb4Np crystal.

Lattice parameters (Å, degrees): 7.9142 7.9142 7.9142 90.00 90.00 90.00
Last column: magnetic moment on the atom in μB.
Fractional positions:
Np 0.5000 0.5000 0.5000  4.93
Rb 0.0000 0.0000 0.0000  0.00
Rb 0.5000 0.0000 0.5000  0.03
Rb 0.5000 0.5000 0.0000  0.03
Rb 0.0000 0.5000 0.5000  0.03

Summary:
- spin magnetization (μB per cell) = 7.03
- density of states at the Fermi level (states/eV/atom) = 4.71
- space-group type = No. 221
- energy relative to the elements (kJ per mole of atoms) = 102.7

---

Density functional theory data (PBE) for a relaxed PrCdNi2 crystal.

Lattice parameters (Å, degrees): 4.0679 5.1443 7.2861 90.00 90.00 90.00
Fractional positions:
Ni 0.5000 0.5000 0.0000
Ni 0.5000 0.0000 0.0000
Ni 0.0000 0.2500 0.0954
Ni 0.0000 0.7500 0.9046
Pr 0.0000 0.7500 0.2774
Pr 0.0000 0.2500 0.7226
Cd 0.5000 0.2500 0.3463
Cd 0.5000 0.7500 0.6537

Summary:
- spin magnetization (μB per cell) = 0.00
- density of states at the Fermi level (states/eV/atom) = 0.80
- space-group type = No. 51
- energy relative to the elements (kJ per mole of atoms) = -29.9

---

Density functional theory data (PBE) for a relaxed Ag5Hg12Cl3 crystal.

Lattice parameters (Å, degrees): 14.8900 14.8900 14.8900 109.47 109.47 109.47
Fractional positions:
Hg 0.8910 0.6099 0.9344
Hg 0.4344 0.3910 0.6099
Hg 0.7189 0.1090 0.0434
Hg 0.1099 0.1755 0.2189
Hg 0.8245 0.9344 0.0434
Hg 0.9566 0.5656 0.1755
Hg 0.8910 0.2811 0.4566
Hg 0.1090 0.3901 0.0656
Hg 0.8245 0.8901 0.2811
Hg 0.5656 0.6090 0.3901
Hg 0.7811 0.3245 0.8901
Hg 0.6755 0.4566 0.5656
Hg 0.9344 0.1099 0.8910
Hg 0.5434 0.3245 0.9344
Hg 0.9344 0.8245 0.5434
Hg 0.7811 0.4566 0.3910
Hg 0.4566 0.6755 0.0656
Hg 0.4566 0.7811 0.8910
Hg 0.2811 0.3901 0.8245
Hg 0.1099 0.9344 0.3910
Hg 0.2811 0.8910 0.9566
Hg 0.0656 0.8901 0.1090
Hg 0.3910 0.4344 0.1099
Hg 0.3245 0.7811 0.3901
Hg 0.1755 0.0656 0.9566
Hg 0.6099 0.7189 0.6755
Hg 0.1755 0.1099 0.7189
Hg 0.0434 0.4344 0.8245
Hg 0.6099 0.8910 0.4344
Hg 0.6755 0.2189 0.6099
Hg 0.2189 0.5434 0.6090
Hg 0.5656 0.9566 0.6755
Hg 0.0656 0.1755 0.4566
Hg 0.2189 0.6755 0.1099
Hg 0.5434 0.2189 0.1090
Hg 0.1090 0.7189 0.5434
Hg 0.8901 0.8245 0.7811
Hg 0.3901 0.2811 0.3245
Hg 0.3901 0.1090 0.5656
Hg 0.0434 0.6090 0.7189
Hg 0.6090 0.0434 0.2189
Hg 0.4344 0.0434 0.3245
Hg 0.8901 0.0656 0.6090
Hg 0.6090 0.5656 0.8901
Hg 0.9566 0.3910 0.2811
Hg 0.3910 0.9566 0.7811
Hg 0.7189 0.6099 0.1755
Hg 0.3245 0.5434 0.4344
Cl 0.3750 0.7500 0.6250
Cl 0.7500 0.8750 0.6250
Cl 0.8750 0.7500 0.1250
Cl 0.7500 0.3750 0.1250
Cl 0.6250 0.2500 0.3750
Cl 0.1250 0.8750 0.7500
Cl 0.6250 0.3750 0.7500
Cl 0.1250 0.2500 0.8750
Cl 0.3750 0.6250 0.2500
Cl 0.8750 0.1250 0.2500
Cl 0.2500 0.6250 0.8750
Cl 0.2500 0.1250 0.3750
Ag 0.6250 0.8750 0.2500
Ag 0.0000 0.5000 0.0000
Ag 0.5000 0.5000 0.0000
Ag 0.2500 0.8750 0.1250
Ag 0.5000 0.5000 0.5000
Ag 0.5000 0.0000 0.5000
Ag 0.6250 0.7500 0.8750
Ag 0.1250 0.7500 0.3750
Ag 0.0000 0.0000 0.0000
Ag 0.1250 0.3750 0.2500
Ag 0.0000 0.0000 0.5000
Ag 0.0000 0.5000 0.5000
Ag 0.7500 0.1250 0.8750
Ag 0.5000 0.0000 0.0000
Ag 0.8750 0.6250 0.7500
Ag 0.8750 0.2500 0.6250
Ag 0.7500 0.6250 0.3750
Ag 0.2500 0.3750 0.6250
Ag 0.3750 0.2500 0.1250
Ag 0.3750 0.1250 0.7500

Summary:
- spin magnetization (μB per cell) = 0.00
- density of states at the Fermi level (states/eV/atom) = 0.31
- space-group type = No. 230
- formation energy (no corrections) (eV per atom) = 0.01

---

Density functional theory data (PBE) for a relaxed Li2CaSe2 crystal.

Lattice parameters (Å, degrees): 7.6673 7.6673 3.8082 90.00 90.00 90.00
Fractional positions:
Li 0.8711 0.3711 0.5000
Li 0.6289 0.8711 0.5000
Li 0.1289 0.6289 0.5000
Li 0.3711 0.1289 0.5000
Ca 0.0000 0.0000 0.0000
Ca 0.5000 0.5000 0.0000
Se 0.1759 0.3241 0.0000
Se 0.6759 0.1759 0.0000
Se 0.8241 0.6759 0.0000
Se 0.3241 0.8241 0.0000

Summary:
- spin magnetization (μB per cell) = 0.00
- density of states at the Fermi level (states/eV/atom) = 0.00
- space-group type = No. 127
- formation energy (no corrections) (eV per atom) = -1.16

---

Density functional theory data (PBE) for a relaxed NdSm2Co3 crystal.

Lattice parameters (Å, degrees): 4.6115 8.0822 8.0857 119.99 90.00 90.00
Last column: magnetic moment on the atom in μB.
Fractional positions:
Co 0.0000 0.8320 0.6640  0.78
Co 0.0000 0.1680 0.3360  0.78
Co 0.5000 0.5000 0.0000  0.78
Co 0.5000 0.1680 0.3360  0.78
Co 0.5000 0.8320 0.6640  0.78
Co 0.0000 0.5000 0.0000  0.78
Sm 0.2500 0.4985 0.6652  -0.11
Sm 0.7500 0.5015 0.3348  -0.11
Sm 0.2500 0.8334 0.3348  -0.11
Sm 0.7500 0.1666 0.6652  -0.11
Nd 0.2500 0.1682 0.0000  -0.11
Nd 0.7500 0.8318 0.0000  -0.11

Summary:
- spin magnetization (μB per cell) = 3.36
- density of states at the Fermi level (states/eV/atom) = 0.57
- space-group type = No. 63
- energy relative to the elements (kJ per mole of atoms) = -8.3